This record from the Alexandria database describes an optimized crystal structure of LaCr4Ga3O12. The functional is GGA+U.

abc: 6.5140 6.5140 6.5140
angles: 109.47 109.47 109.47
Last column: magnetic moment on the atom in μB.
Positions (direct):
1 La 0.0000 0.0000 0.0000  0.01
2 Cr 0.5000 0.0000 0.0000  2.94
3 Cr 0.5000 0.5000 0.5000  2.94
4 Cr 0.0000 0.5000 0.0000  2.94
5 Cr 0.0000 0.0000 0.5000  2.94
6 Ga 0.0000 0.5000 0.5000  0.02
7 Ga 0.5000 0.5000 0.0000  0.02
8 Ga 0.5000 0.0000 0.5000  0.02
9 O 0.3108 0.8247 0.1355  -0.01
10 O 0.6892 0.1753 0.8645  -0.01
11 O 0.6892 0.8247 0.5139  -0.01
12 O 0.8645 0.6892 0.1753  -0.01
13 O 0.8247 0.1355 0.3108  -0.01
14 O 0.1753 0.4861 0.3108  -0.01
15 O 0.4861 0.3108 0.1753  -0.01
16 O 0.1753 0.8645 0.6892  -0.01
17 O 0.3108 0.1753 0.4861  -0.01
18 O 0.1355 0.3108 0.8247  -0.01
19 O 0.8247 0.5139 0.6892  -0.01
20 O 0.5139 0.6892 0.8247  -0.01

Volume   10.64 Å³ per atom
SG   No. 204
Final energy   -144.30 eV per cell
Density of states at the Fermi level   0.0 states/eV/f.u.